## PrDy3Er2Se6 (GGA-PBE)

Data for a geometry-optimized PrDy3Er2Se6 structure.

Lattice parameters (Å, degrees): 7.1021 7.1021 7.0875 99.55 99.55 120.24
Closest atoms and distances in Å follow each position.
Sites, in units of the cell vectors:
Pr 0.0000 0.0000 0.0000  6 Se 2.96-3.00
Dy 0.1571 0.8429 0.5000  6 Se 2.86-2.92
Dy 0.5000 0.5000 0.5000  6 Se 2.82-2.92
Dy 0.8429 0.1571 0.5000  6 Se 2.86-2.92
Er 0.3349 0.6651 0.0000  6 Se 2.84-2.89
Er 0.6651 0.3349 0.0000  6 Se 2.84-2.89
Se 0.0844 0.4323 0.2553  2 Er 2.88-2.89, 3 Dy 2.88-2.92, 1 Pr 3.00
Se 0.2639 0.2639 0.7519  3 Dy 2.82-2.86, 2 Er 2.84, 1 Pr 2.96
Se 0.4323 0.0844 0.2553  2 Er 2.88-2.89, 3 Dy 2.88-2.92, 1 Pr 3.00
Se 0.5677 0.9156 0.7447  2 Er 2.88-2.89, 3 Dy 2.88-2.92, 1 Pr 3.00
Se 0.7361 0.7361 0.2481  3 Dy 2.82-2.86, 2 Er 2.84, 1 Pr 2.96
Se 0.9156 0.5677 0.7447  2 Er 2.88-2.89, 3 Dy 2.88-2.92, 1 Pr 3.00

formation energy from raw total energies: -1.746 eV per atom
calculated total energy: -5.798 eV per atom
space-group type: C2/m, No. 12

---

## YAlGaO2 (GGA-PBE)

Data for a geometry-optimized YAlGaO2 structure.

Lattice parameters (Å, degrees): 4.2875 4.2875 6.2635 90.00 90.00 90.00
Closest atoms and distances in Å follow each position.
Sites, in units of the cell vectors:
Y 0.0000 0.0000 0.0000  4 O 2.14
Al 0.0000 0.0000 0.5000  4 Ga 3.03, 2 Y 3.13
Ga 0.5000 0.5000 0.5000  4 Al 3.03
O 0.0000 0.5000 0.0000  2 Y 2.14
O 0.5000 0.0000 0.0000  2 Y 2.14

formation energy from raw total energies: -0.788 eV per atom
calculated total energy: -5.418 eV per atom
space-group type: P4/mmm, No. 123

---

## VCrCo6 (GGA-PBE)

Data for a geometry-optimized VCrCo6 structure.

Lattice parameters (Å, degrees): 6.1015 6.1015 9.9436 90.00 90.00 109.31
Closest atoms and distances in Å follow each position.
Sites, in units of the cell vectors:
V 0.0000 0.0000 0.2485  12 Co 2.47-2.51
V 0.0000 0.0000 0.7515  12 Co 2.47-2.51
V 0.2488 0.7512 0.0000  12 Co 2.48-2.51
V 0.7512 0.2488 0.0000  12 Co 2.48-2.51
Cr 0.2488 0.7512 0.5000  12 Co 2.47-2.50
Cr 0.5000 0.5000 0.2493  12 Co 2.47-2.50
Cr 0.5000 0.5000 0.7507  12 Co 2.47-2.50
Cr 0.7512 0.2488 0.5000  12 Co 2.47-2.50
Co 0.0000 0.0000 0.0000  4 V 2.47-2.48, 8 Co 2.50
Co 0.0000 0.0000 0.5000  2 Cr 2.48, 8 Co 2.50, 2 V 2.50
Co 0.1257 0.3771 0.3758  8 Co 2.47-2.50, 3 Cr 2.48-2.50, 1 V 2.51
Co 0.1257 0.3771 0.6242  8 Co 2.47-2.50, 3 Cr 2.48-2.50, 1 V 2.51
Co 0.1275 0.3760 0.1260  1 Cr 2.47, 8 Co 2.47-2.51, 3 V 2.48-2.50
Co 0.1275 0.3760 0.8740  1 Cr 2.47, 8 Co 2.47-2.51, 3 V 2.48-2.50
Co 0.2510 0.7490 0.2520  2 Cr 2.47-2.48, 8 Co 2.47-2.51, 2 V 2.50-2.51
Co 0.2510 0.7490 0.7480  2 Cr 2.47-2.48, 8 Co 2.47-2.51, 2 V 2.50-2.51
Co 0.3760 0.1275 0.1260  1 Cr 2.47, 8 Co 2.47-2.51, 3 V 2.48-2.50
Co 0.3760 0.1275 0.8740  1 Cr 2.47, 8 Co 2.47-2.51, 3 V 2.48-2.50
Co 0.3771 0.1257 0.3758  8 Co 2.47-2.50, 3 Cr 2.48-2.50, 1 V 2.51
Co 0.3771 0.1257 0.6242  8 Co 2.47-2.50, 3 Cr 2.48-2.50, 1 V 2.51
Co 0.5000 0.5000 0.0000  2 Cr 2.48, 8 Co 2.48, 2 V 2.50
Co 0.5000 0.5000 0.5000  8 Co 2.48, 4 Cr 2.49-2.50
Co 0.6229 0.8743 0.3758  8 Co 2.47-2.50, 3 Cr 2.48-2.50, 1 V 2.51
Co 0.6229 0.8743 0.6242  8 Co 2.47-2.50, 3 Cr 2.48-2.50, 1 V 2.51
Co 0.6240 0.8725 0.1260  1 Cr 2.47, 8 Co 2.47-2.51, 3 V 2.48-2.50
Co 0.6240 0.8725 0.8740  1 Cr 2.47, 8 Co 2.47-2.51, 3 V 2.48-2.50
Co 0.7490 0.2510 0.2520  2 Cr 2.47-2.48, 8 Co 2.47-2.51, 2 V 2.50-2.51
Co 0.7490 0.2510 0.7480  2 Cr 2.47-2.48, 8 Co 2.47-2.51, 2 V 2.50-2.51
Co 0.8725 0.6240 0.1260  1 Cr 2.47, 8 Co 2.47-2.51, 3 V 2.48-2.50
Co 0.8725 0.6240 0.8740  1 Cr 2.47, 8 Co 2.47-2.51, 3 V 2.48-2.50
Co 0.8743 0.6229 0.3758  8 Co 2.47-2.50, 3 Cr 2.48-2.50, 1 V 2.51
Co 0.8743 0.6229 0.6242  8 Co 2.47-2.50, 3 Cr 2.48-2.50, 1 V 2.51

ΔE_f: -0.067 eV per atom
calculated total energy: -7.739 eV per atom
space-group type: Cmmm, No. 65
energy above the most stable polymorph in this dataset: 0.000 eV per atom

---

## LaOsSe2N (GGA-PBE)

Data for a geometry-optimized LaOsSe2N structure.

Lattice parameters (Å, degrees): 5.8115 5.8115 3.9836 90.00 90.00 90.00
Closest atoms and distances in Å follow each position.
Sites, in units of the cell vectors:
La 0.0000 0.0000 0.0000  2 N 1.99
Os 0.5000 0.5000 0.5000  8 Se 3.52
Se 0.0000 0.5000 0.0000  2 La 2.91
Se 0.5000 0.0000 0.0000  2 La 2.91
N 0.0000 0.0000 0.5000  2 La 1.99

formation energy from raw total energies: 1.323 eV per atom
calculated total energy: -4.967 eV per atom
space-group type: P4/mmm, No. 123

---

## Ba2LiAs3Pt4 (GGA-PBE)

Data for a geometry-optimized Ba2LiAs3Pt4 structure.

Lattice parameters (Å, degrees): 4.5206 4.5206 10.3001 90.00 90.00 90.00
Closest atoms and distances in Å follow each position.
Sites, in units of the cell vectors:
Ba 0.0000 0.5000 0.2463  6 As 3.40-3.46, 2 Li 3.40, 9 Pt 3.44-3.79
Ba 0.5000 0.0000 0.7537  6 As 3.40-3.46, 2 Li 3.40, 9 Pt 3.44-3.79
Li 0.5000 0.5000 0.0000  4 Pt 2.58
As 0.0000 0.0000 0.0000  4 Pt 2.58
As 0.0000 0.5000 0.6261  5 Pt 2.60-2.61
As 0.5000 0.0000 0.3739  5 Pt 2.60-2.61
Pt 0.0000 0.0000 0.5000  4 As 2.61
Pt 0.0000 0.5000 0.8783  3 As 2.58-2.60, 2 Li 2.58
Pt 0.5000 0.0000 0.1217  3 As 2.58-2.60, 2 Li 2.58
Pt 0.5000 0.5000 0.5000  4 As 2.61

ΔE_f: -0.781 eV per atom
calculated total energy: -5.168 eV per atom
space-group type: P-4m2, No. 115

---

## Ca3CdSi2Au6 (GGA-PBE)

Data for a geometry-optimized Ca3CdSi2Au6 structure.

Lattice parameters (Å, degrees): 6.1362 6.1362 8.6733 90.00 90.00 120.00
Closest atoms and distances in Å follow each position.
Sites, in units of the cell vectors:
Ca 0.0000 0.0000 0.0000  6 Au 2.96
Ca 0.3333 0.6667 0.6480  6 Au 3.16, 1 Si 3.48
Ca 0.6667 0.3333 0.3520  6 Au 3.16, 1 Si 3.48
Cd 0.0000 0.0000 0.5000  6 Au 2.75
Si 0.3333 0.6667 0.0493  3 Au 2.53
Si 0.6667 0.3333 0.9507  3 Au 2.53
Au 0.1745 0.3489 0.2664  1 Si 2.53, 1 Cd 2.75
Au 0.1745 0.8255 0.2664  1 Si 2.53, 1 Cd 2.75
Au 0.3489 0.1745 0.7336  1 Si 2.53, 1 Cd 2.75
Au 0.6511 0.8255 0.2664  1 Si 2.53, 1 Cd 2.75
Au 0.8255 0.1745 0.7336  1 Si 2.53, 1 Cd 2.75
Au 0.8255 0.6511 0.7336  1 Si 2.53, 1 Cd 2.75

formation energy from raw total energies: -0.328 eV per atom
calculated total energy: -3.447 eV per atom
space-group type: P-3m1, No. 164

---

## LiPr6Tl2 (GGA-PBE)

Data for a geometry-optimized LiPr6Tl2 structure.

Lattice parameters (Å, degrees): 9.1572 9.1572 5.1891 106.28 106.28 51.23
Closest atoms and distances in Å follow each position.
Sites, in units of the cell vectors:
Li 0.0000 0.0000 0.0000  8 Pr 3.23-3.26
Pr 0.0837 0.5886 0.8358  1 Li 3.23, 3 Tl 3.27-3.32
Pr 0.2487 0.7513 0.5000  2 Li 3.26, 2 Tl 3.27, 2 Pr 3.65
Pr 0.4114 0.9163 0.1642  1 Li 3.23, 3 Tl 3.27-3.32
Pr 0.5886 0.0837 0.8358  1 Li 3.23, 3 Tl 3.27-3.32
Pr 0.7513 0.2487 0.5000  2 Li 3.26, 2 Tl 3.27, 2 Pr 3.65
Pr 0.9163 0.4114 0.1642  1 Li 3.23, 3 Tl 3.27-3.32
Tl 0.3347 0.3347 0.3345  8 Pr 3.27-3.32
Tl 0.6653 0.6653 0.6655  8 Pr 3.27-3.32

ΔE_f: 0.105 eV per atom
calculated total energy: -3.820 eV per atom
space-group type: C2/m, No. 12

---

## AcZn2Ag4 (GGA-PBE)

Data for a geometry-optimized AcZn2Ag4 structure.

Lattice parameters (Å, degrees): 6.3864 6.3864 6.3864 100.92 100.92 128.40
Closest atoms and distances in Å follow each position.
Sites, in units of the cell vectors:
Ac 0.0000 0.0000 0.0000  8 Ag 3.38
Zn 0.2500 0.7500 0.5000  4 Ag 2.56, 2 Zn 2.78
Zn 0.7500 0.2500 0.5000  4 Ag 2.56, 2 Zn 2.78
Ag 0.2642 0.5000 0.7642  2 Zn 2.56, 2 Ag 2.71
Ag 0.5000 0.2642 0.7642  2 Zn 2.56, 2 Ag 2.71
Ag 0.5000 0.7358 0.2358  2 Zn 2.56, 2 Ag 2.71
Ag 0.7358 0.5000 0.2358  2 Zn 2.56, 2 Ag 2.71

ΔE_f: 0.149 eV per atom
calculated total energy: -2.431 eV per atom
space-group type: I4/mmm, No. 139
energy above the most stable polymorph in this dataset: 0.329 eV per atom

---

## Nd2DyGa3Pd4 (GGA-PBE)

Data for a geometry-optimized Nd2DyGa3Pd4 structure.

Lattice parameters (Å, degrees): 4.3031 4.3031 11.2815 90.00 90.00 90.00
Closest atoms and distances in Å follow each position.
Sites, in units of the cell vectors:
Nd 0.0000 0.5000 0.2261  4 Ga 3.27, 8 Pd 3.32-3.34
Nd 0.5000 0.0000 0.7739  4 Ga 3.27, 8 Pd 3.32-3.34
Dy 0.0000 0.0000 0.5000  4 Pd 2.79, 4 Ga 3.04
Ga 0.0000 0.5000 0.8793  5 Pd 2.51-2.55
Ga 0.5000 0.0000 0.1207  5 Pd 2.51-2.55
Ga 0.5000 0.5000 0.5000  4 Pd 2.79, 4 Dy 3.04
Pd 0.0000 0.0000 0.0000  4 Ga 2.55
Pd 0.0000 0.5000 0.6568  3 Ga 2.51-2.79, 2 Dy 2.79
Pd 0.5000 0.0000 0.3432  3 Ga 2.51-2.79, 2 Dy 2.79
Pd 0.5000 0.5000 0.0000  4 Ga 2.55

ΔE_f: -0.793 eV per atom
calculated total energy: -5.192 eV per atom
space-group type: P-4m2, No. 115

---

## Sc2TlW4 (GGA-PBE)

Data for a geometry-optimized Sc2TlW4 structure.

Lattice parameters (Å, degrees): 7.7517 7.7517 7.7517 142.79 142.79 53.64
Closest atoms and distances in Å follow each position.
Sites, in units of the cell vectors:
Sc 0.1165 0.1165 0.0000  5 W 2.65-2.95
Sc 0.8835 0.8835 0.0000  5 W 2.65-2.95
Tl 0.5000 0.5000 0.0000  6 W 2.47-2.65
W 0.0000 0.5000 0.5000  2 Tl 2.47
W 0.3082 0.3082 0.0000  1 Sc 2.65, 1 Tl 2.65
W 0.5000 0.0000 0.5000  2 Tl 2.47
W 0.6918 0.6918 0.0000  1 Sc 2.65, 1 Tl 2.65

ΔE_f: 2.516 eV per atom
calculated total energy: -7.033 eV per atom
space-group type: I4/mmm, No. 139